(1)
# PBE Nd4Cd2F, relaxed
data_Nd4Cd2F
_chemical_formula_sum 'Nd8 Cd4 F2'
_space_group_name_H-M_alt 'I 4/m m m'
_space_group_IT_number 139
_space_group_name_Hall '-I 4 2'
_cell_length_a 4.9246
_cell_length_b 4.9246
_cell_length_c 16.5824
_cell_angle_alpha 90.00
_cell_angle_beta 90.00
_cell_angle_gamma 90.00
loop_
_atom_site_label
_atom_site_fract_x
_atom_site_fract_y
_atom_site_fract_z
Nd1 0.0000 0.0000 0.1837
Nd2 0.0000 0.5000 0.0000
Cd1 0.0000 0.0000 0.3698
F1 0.0000 0.0000 0.0000
# - V (A^3/atom) = 28.7
# - ΔE_f (raw) (kJ/mol of atoms) = -73
# - magnetic moment (μB/f.u.) = 0.0

---

(2)
# PBE NdCdF, relaxed
data_NdCdF
_chemical_formula_sum 'Nd4 Cd4 F4'
_space_group_name_H-M_alt 'A m m 2'
_space_group_IT_number 38
_space_group_name_Hall 'A 2 -2'
_cell_length_a 14.3478
_cell_length_b 3.6395
_cell_length_c 6.3220
_cell_angle_alpha 90.00
_cell_angle_beta 90.00
_cell_angle_gamma 90.00
loop_
_atom_site_label
_atom_site_fract_x
_atom_site_fract_y
_atom_site_fract_z
Nd1 0.1799 0.0000 0.0000
Cd1 0.0000 0.0000 0.3326
Cd2 0.5000 0.0000 0.1038
F1 0.2706 0.0000 0.3329
# - V (A^3/atom) = 27.5
# - ΔE_f (raw) (kJ/mol of atoms) = -147
# - magnetic moment (μB/f.u.) = 0.4

---

(3)
# PBE RbNdCdF6, relaxed
data_RbNdCdF6
_chemical_formula_sum 'Rb4 Nd4 Cd4 F24'
_space_group_name_H-M_alt 'I m m a'
_space_group_IT_number 74
_space_group_name_Hall '-I 2b 2'
_cell_length_a 8.2030
_cell_length_b 8.6337
_cell_length_c 12.1034
_cell_angle_alpha 90.00
_cell_angle_beta 90.00
_cell_angle_gamma 90.00
loop_
_atom_site_label
_atom_site_fract_x
_atom_site_fract_y
_atom_site_fract_z
Rb1 0.0000 0.2500 0.0301
Nd1 0.0000 0.0000 0.5000
Cd1 0.2500 0.2500 0.7500
F1 0.0000 0.2500 0.4308
F2 0.0000 0.2500 0.8100
F3 0.2111 0.0697 0.6128
# - V (A^3/atom) = 23.8
# - ΔE_f (raw) (kJ/mol of atoms) = -299
# - magnetic moment (μB/f.u.) = 0.0

---

(4)
# PBE Rb2NdCd3F12, relaxed
data_Rb2NdCd3F12
_chemical_formula_sum 'Rb6 Nd3 Cd9 F36'
_space_group_name_H-M_alt 'R -3 m'
_space_group_IT_number 166
_space_group_name_Hall '-R 3 2"'
_cell_length_a 8.0427
_cell_length_b 8.0427
_cell_length_c 20.7955
_cell_angle_alpha 90.00
_cell_angle_beta 90.00
_cell_angle_gamma 120.00
loop_
_atom_site_label
_atom_site_fract_x
_atom_site_fract_y
_atom_site_fract_z
Rb1 0.0000 0.0000 0.0955
Nd1 0.0000 0.0000 0.5000
Cd1 0.0000 0.5000 0.0000
F1 0.0523 0.5262 0.3512
F2 0.0597 0.5298 0.1062
# - V (A^3/atom) = 21.6
# - ΔE_f (raw) (kJ/mol of atoms) = -249
# - magnetic moment (μB/f.u.) = 0.0